First-principles (PBE with a Hubbard U) data for Cs2CoF6 after structural relaxation, as listed in Alexandria.

CIF file:
```
data_Cs2CoF6
_space_group_name_H-M_alt 'P 1'
_space_group_IT_number 1
_cell_length_a 6.278
_cell_length_b 8.059
_cell_length_c 8.365
_cell_angle_alpha 90.00
_cell_angle_beta 118.09
_cell_angle_gamma 90.00
loop_
_space_group_symop_operation_xyz
'x,y,z'
loop_
_atom_site_label
_atom_site_type_symbol
_atom_site_fract_x
_atom_site_fract_y
_atom_site_fract_z
Cs1 Cs 0.178 0.064 0.320
Cs2 Cs 0.178 0.436 0.820
Cs3 Cs 0.822 0.564 0.180
Cs4 Cs 0.822 0.936 0.680
Co1 Co 0.500 0.000 0.000
Co2 Co 0.500 0.500 0.500
F1 F 0.238 0.104 0.994
F2 F 0.238 0.396 0.494
F3 F 0.344 0.697 0.462
F4 F 0.344 0.803 0.962
F5 F 0.368 0.031 0.757
F6 F 0.368 0.469 0.257
F7 F 0.632 0.531 0.743
F8 F 0.632 0.969 0.243
F9 F 0.656 0.197 0.038
F10 F 0.656 0.303 0.538
F11 F 0.762 0.604 0.506
F12 F 0.762 0.896 0.006
```

Summary:
The calculation puts the density of states at the Fermi level at 0.0 states/eV/cell. As for the total energy: -4.2633 eV/atom. For the mass density, the calculation gives 3.9 g/cm3. The magnetic moment is 1.00 μB per formula unit. The value obtained for the volume is 20.74 A^3/atom.